No. 1
First-principles (PBE-GGA) data for Tb3YHo2P6 after structural relaxation, as listed in Alexandria via LeMat-Bulk.

Geometry as POSCAR:
```
Tb3YHo2P6
1.0
3.475 -6.017 0.000
3.475 6.017 0.000
-2.314 0.000 6.553
Tb Y Ho P
3 1 2 6
Cartesian
0.000 0.000 0.000
3.475 2.004 0.000
3.475 -2.004 0.000
2.318 0.000 3.276
2.318 4.011 3.276
2.318 -4.011 3.276
1.155 2.012 1.651
-0.005 0.000 4.902
1.155 -2.012 1.651
3.480 2.012 4.902
4.641 0.000 1.650
3.480 -2.012 4.902
```

No. 2
First-principles (PBE-GGA) data for BC3 after structural relaxation, as listed in Alexandria via LeMat-Bulk.

## Properties
Excess energy over the best structure of this formula in the dataset ... 35 meV per atom

Geometry as POSCAR:
```
BC3
1.0
4.362 -1.299 0.000
4.362 1.299 0.000
-3.239 0.000 6.607
B C
3 9
Cartesian
0.000 0.000 0.000
-0.185 0.000 2.864
0.829 0.000 4.713
-1.629 0.000 6.370
2.342 0.000 1.138
3.888 0.000 0.932
2.324 0.000 4.157
4.742 0.000 2.198
3.094 0.000 5.554
4.589 0.000 5.219
6.281 0.000 1.954
7.024 0.000 3.357
```

No. 3
First-principles (PBE-GGA) data for SrLiN3 after structural relaxation, as listed in Alexandria via LeMat-Bulk.

## Properties
Formation energy without anion corrections ... 5.8 eV/f.u.

Geometry as POSCAR:
```
SrLiN3
1.0
3.846 0.000 0.000
0.000 3.846 0.000
0.000 0.000 3.846
Sr Li N
1 1 3
Cartesian
0.000 0.000 0.000
1.923 1.923 1.923
0.000 1.923 1.923
1.923 0.000 1.923
1.923 1.923 0.000
```

No. 4
First-principles (PBE-GGA) data for Hf2HgBi after structural relaxation, as listed in Alexandria via LeMat-Bulk.

## Properties
Excess energy over the best structure of this formula in the dataset ... 215 meV per atom

Geometry as POSCAR:
```
Hf2HgBi
1.0
3.819 0.000 0.000
-1.910 3.308 0.000
0.000 0.000 23.710
Hf Hg Bi
6 3 3
Cartesian
0.000 0.000 0.000
0.000 0.000 3.884
0.000 2.205 15.807
0.000 2.205 19.691
1.910 1.103 7.903
1.910 1.103 11.787
0.000 0.000 9.804
0.000 2.205 1.901
1.910 1.103 17.708
0.000 0.000 13.812
0.000 2.205 5.908
1.910 1.103 21.715
```

No. 5
First-principles (PBE-GGA) data for Sm8Ho5Mg after structural relaxation, as listed in Alexandria via LeMat-Bulk.

Geometry as POSCAR:
```
Sm8Ho5Mg
1.0
-4.845 4.845 5.028
4.845 -4.845 5.028
4.845 4.845 -5.028
Sm Ho Mg
8 5 1
Cartesian
1.768 -0.887 2.486
3.077 5.732 -2.543
0.645 3.192 0.892
3.958 3.077 2.543
-0.645 6.498 0.892
-1.653 4.200 4.136
0.887 1.768 7.571
1.653 5.490 4.136
0.000 0.000 0.000
3.840 2.877 -0.797
1.968 -1.005 5.826
1.005 1.968 4.231
2.877 5.850 0.797
4.845 0.000 2.514
```

No. 6
First-principles (PBE-GGA) data for Ca3Ni after structural relaxation, as listed in Alexandria via LeMat-Bulk.

Geometry as POSCAR:
```
Ca3Ni
1.0
3.814 0.000 0.000
0.000 10.188 0.000
0.000 0.000 6.527
Ca Ni
6 2
Cartesian
0.000 0.000 0.000
0.000 1.833 3.306
0.000 8.355 3.306
1.907 3.261 0.043
1.907 5.094 3.263
1.907 6.927 0.043
0.000 5.094 1.233
1.907 0.000 4.496
```

No. 7
First-principles (PBE-GGA) data for MgCoSnRu after structural relaxation, as listed in Alexandria via LeMat-Bulk.

Geometry as POSCAR:
```
MgCoSnRu
1.0
6.231 0.000 0.000
0.000 6.231 0.000
0.000 0.000 6.231
Mg Co Sn Ru
4 4 4 4
Cartesian
0.000 0.000 0.000
0.000 3.116 3.116
3.116 0.000 3.116
3.116 3.116 0.000
1.558 1.558 1.558
1.558 4.673 4.673
4.673 1.558 4.673
4.673 4.673 1.558
0.000 0.000 3.116
0.000 3.116 0.000
3.116 0.000 0.000
3.116 3.116 3.116
1.558 1.558 4.673
1.558 4.673 1.558
4.673 1.558 1.558
4.673 4.673 4.673
```

No. 8
First-principles (PBE-GGA) data for Pu2Cr2Ge2N after structural relaxation, as listed in Alexandria via LeMat-Bulk.

## Properties
Formation energy without anion corrections ... -3.6 eV/f.u.

Geometry as POSCAR:
```
Pu2Cr2Ge2N
1.0
10.891 0.000 0.000
0.000 3.644 0.000
-4.104 0.000 5.863
Pu Cr Ge N
4 4 4 2
Cartesian
-0.446 0.000 1.654
1.787 1.822 4.210
5.000 1.822 1.654
7.232 0.000 4.210
1.865 1.822 0.364
-0.524 0.000 5.499
7.311 0.000 0.364
4.921 1.822 5.499
-1.180 1.822 3.966
2.521 0.000 1.898
4.266 0.000 3.966
7.966 1.822 1.898
0.000 1.822 0.000
5.445 0.000 0.000
```

No. 9
First-principles (PBE-GGA) data for SbMoIr2 after structural relaxation, as listed in Alexandria via LeMat-Bulk.

## Properties
Formation energy without anion corrections ... 1.0 eV/f.u.

Geometry as POSCAR:
```
SbMoIr2
1.0
2.973 0.000 0.000
0.000 4.657 0.000
0.000 0.000 9.686
Sb Mo Ir
2 2 4
Cartesian
0.000 0.000 0.000
1.486 2.329 4.843
0.000 2.329 2.556
1.486 0.000 7.399
0.000 0.000 5.063
0.000 2.329 7.001
1.486 0.000 2.158
1.486 2.329 0.220
```

No. 10
First-principles (PBE-GGA) data for HoZn3Cu8 after structural relaxation, as listed in Alexandria via LeMat-Bulk.

Geometry as POSCAR:
```
HoZn3Cu8
1.0
4.958 0.000 0.000
-2.479 4.294 0.000
0.000 0.000 7.991
Ho Zn Cu
1 3 8
Cartesian
0.000 0.000 0.000
0.000 0.000 3.152
2.479 1.431 3.936
2.479 1.431 6.697
0.000 1.415 5.438
-1.254 3.586 5.438
0.000 2.862 3.477
0.000 2.862 7.488
2.479 0.032 1.560
1.267 2.131 1.560
1.254 3.586 5.438
3.691 2.131 1.560
```

No. 11
First-principles (PBE-GGA) data for Nd3HoGa2 after structural relaxation, as listed in Alexandria via LeMat-Bulk.

## Properties
Excess energy over the best structure of this formula in the dataset ... 65 meV per atom

Geometry as POSCAR:
```
Nd3HoGa2
1.0
8.735 -2.285 0.000
8.735 2.285 0.000
-3.705 0.000 8.542
Nd Ho Ga
6 2 4
Cartesian
0.063 0.000 1.605
3.499 0.000 4.867
6.014 0.000 0.183
7.751 0.000 8.359
10.265 0.000 3.675
13.702 0.000 6.936
-0.332 0.000 5.463
14.097 0.000 3.079
3.290 0.000 1.852
7.294 0.000 3.051
6.471 0.000 5.491
10.474 0.000 6.690
```

No. 12
First-principles (PBE-GGA) data for CrTe2I after structural relaxation, as listed in Alexandria via LeMat-Bulk.

## Properties
Formation energy without anion corrections ... 2.1 eV/f.u.
Excess energy over the best structure of this formula in the dataset ... 735 meV per atom

Geometry as POSCAR:
```
CrTe2I
1.0
3.313 0.000 0.000
0.000 23.503 0.000
0.000 0.000 5.266
Cr Te I
4 8 4
Cartesian
0.000 1.084 1.316
0.000 22.419 3.949
1.656 10.668 3.949
1.656 12.835 1.316
0.000 6.806 1.316
0.000 8.568 3.949
0.000 14.934 1.316
0.000 16.696 3.949
1.656 3.183 1.316
1.656 4.945 3.949
1.656 18.557 1.316
1.656 20.319 3.949
0.000 10.655 1.316
0.000 12.847 3.949
1.656 1.096 3.949
1.656 22.406 1.316
```

No. 13
First-principles (PBE-GGA) data for La2PmIr after structural relaxation, as listed in Alexandria via LeMat-Bulk.

## Properties
Excess energy over the best structure of this formula in the dataset ... 309 meV per atom

Geometry as POSCAR:
```
La2PmIr
1.0
3.959 0.000 0.000
-1.979 3.428 0.000
0.000 0.000 32.065
La Pm Ir
6 3 3
Cartesian
0.000 0.000 3.658
0.000 0.000 28.408
0.000 2.285 17.719
0.000 2.285 25.034
1.979 1.143 7.031
1.979 1.143 14.346
0.000 0.000 0.000
0.000 2.285 21.377
1.979 1.143 10.688
0.000 0.000 16.033
0.000 2.285 5.344
1.979 1.143 26.721
```

No. 14
First-principles (PBE-GGA) data for KCeIn2F8 after structural relaxation, as listed in Alexandria via LeMat-Bulk.

## Properties
Formation energy without anion corrections ... -34.0 eV/f.u.

Geometry as POSCAR:
```
KCeIn2F8
1.0
4.100 0.000 0.000
0.000 8.305 0.000
-0.017 0.000 5.932
K Ce In F
1 1 2 8
Cartesian
0.000 0.000 0.000
0.000 4.153 0.000
2.041 1.906 2.966
2.041 6.399 2.966
0.002 2.348 1.455
0.002 5.958 1.455
2.029 0.000 4.251
2.031 4.153 4.661
2.051 4.153 1.270
2.053 0.000 1.680
4.081 2.348 4.476
4.081 5.958 4.476
```

No. 15
First-principles (PBE-GGA) data for CaDy2ErAs4 after structural relaxation, as listed in Alexandria via LeMat-Bulk.

Geometry as POSCAR:
```
CaDy2ErAs4
1.0
7.172 0.000 0.000
0.000 4.124 0.000
-2.376 0.000 6.781
Ca Dy Er As
1 2 1 4
Cartesian
0.000 0.000 0.000
2.398 0.000 3.390
3.586 2.062 0.000
-1.188 2.062 3.390
0.029 0.000 5.056
1.223 2.062 1.746
3.574 2.062 5.035
4.767 0.000 1.724
```

No. 16
First-principles (PBE-GGA) data for VSi3P after structural relaxation, as listed in Alexandria via LeMat-Bulk.

## Properties
Formation energy without anion corrections ... 4.8 eV/f.u.
Excess energy over the best structure of this formula in the dataset ... 82 meV per atom

Geometry as POSCAR:
```
VSi3P
1.0
4.505 0.000 0.000
0.000 4.505 0.000
0.000 0.000 4.505
V Si P
1 3 1
Cartesian
0.000 0.000 0.000
0.000 2.253 2.253
2.253 0.000 2.253
2.253 2.253 0.000
2.253 2.253 2.253
```

No. 17
First-principles (PBE-GGA) data for AcTcSb2 after structural relaxation, as listed in Alexandria via LeMat-Bulk.

## Properties
Formation energy without anion corrections ... -0.6 eV/f.u.
Excess energy over the best structure of this formula in the dataset ... 248 meV per atom

Geometry as POSCAR:
```
AcTcSb2
1.0
3.466 0.000 0.000
0.000 3.466 0.000
0.000 0.000 8.066
Ac Tc Sb
1 1 2
Cartesian
0.000 0.000 0.000
0.000 0.000 4.033
1.733 1.733 2.463
1.733 1.733 5.604
```

No. 18
First-principles (PBE-GGA) data for LiBeSb2I after structural relaxation, as listed in Alexandria via LeMat-Bulk.

## Properties
Formation energy without anion corrections ... 0.7 eV/f.u.
Excess energy over the best structure of this formula in the dataset ... 0 meV per atom

Geometry as POSCAR:
```
LiBeSb2I
1.0
4.649 0.000 0.000
0.000 4.649 0.000
0.000 0.000 9.057
Li Be Sb I
1 1 2 1
Cartesian
0.000 0.000 0.000
2.324 2.324 4.528
0.000 2.324 4.528
2.324 0.000 4.528
2.324 2.324 0.000
```

No. 19
First-principles (PBE-GGA) data for CsTaBe after structural relaxation, as listed in Alexandria via LeMat-Bulk.

## Properties
Excess energy over the best structure of this formula in the dataset ... 460 meV per atom

Geometry as POSCAR:
```
CsTaBe
1.0
3.466 0.000 0.000
-1.126 7.902 0.000
-0.488 -3.858 6.988
Cs Ta Be
2 2 2
Cartesian
0.000 0.000 0.000
-0.013 0.029 4.697
0.070 3.843 1.232
1.800 4.946 2.827
0.074 3.335 3.546
1.803 2.595 2.505
```

No. 20
First-principles (PBE-GGA) data for LiTe2Cl after structural relaxation, as listed in Alexandria via LeMat-Bulk.

## Properties
Formation energy without anion corrections ... -2.6 eV/f.u.
Excess energy over the best structure of this formula in the dataset ... 65 meV per atom

Geometry as POSCAR:
```
LiTe2Cl
1.0
4.250 0.000 0.000
0.000 8.532 0.000
-0.050 0.000 4.314
Li Te Cl
1 2 1
Cartesian
0.000 0.000 0.000
1.025 4.266 3.235
3.175 4.266 1.079
-0.025 0.000 2.157
```

No. 21
First-principles (PBE-GGA) data for AlSi2Ni3 after structural relaxation, as listed in Alexandria via LeMat-Bulk.

## Properties
Formation energy without anion corrections ... -2.8 eV/f.u.
Excess energy over the best structure of this formula in the dataset ... 0 meV per atom

Geometry as POSCAR:
```
AlSi2Ni3
1.0
4.000 0.000 0.000
-2.000 3.464 0.000
0.000 0.000 4.962
Al Si Ni
1 2 3
Cartesian
0.000 0.000 0.000
0.000 2.310 3.411
2.000 1.155 1.551
0.000 0.000 2.481
0.000 2.310 0.992
2.000 1.155 3.970
```

No. 22
First-principles (PBE-GGA) data for AcTaS after structural relaxation, as listed in Alexandria via LeMat-Bulk.

## Properties
Formation energy without anion corrections ... -2.5 eV/f.u.

Geometry as POSCAR:
```
AcTaS
1.0
4.100 0.000 0.000
0.000 4.100 0.000
0.000 0.000 9.069
Ac Ta S
2 2 2
Cartesian
1.025 1.025 1.672
3.075 3.075 7.397
1.025 1.025 4.989
3.075 3.075 4.080
1.025 1.025 7.569
3.075 3.075 1.500
```

No. 23
First-principles (PBE-GGA) data for La3PmRh8 after structural relaxation, as listed in Alexandria via LeMat-Bulk.

Geometry as POSCAR:
```
La3PmRh8
1.0
2.716 1.568 8.887
-2.716 1.568 8.887
0.000 -3.136 8.887
La Pm Rh
3 1 8
Cartesian
0.000 0.000 0.000
0.000 0.000 3.331
0.000 0.000 16.668
0.000 0.000 13.330
0.000 -1.568 6.095
-1.358 0.784 6.095
-1.356 -0.783 10.569
0.000 0.000 8.331
1.358 0.784 6.095
1.356 -0.783 10.569
0.000 1.566 10.569
0.000 0.000 21.667
```

No. 24
First-principles (PBE-GGA) data for ErHfSc2N4 after structural relaxation, as listed in Alexandria via LeMat-Bulk.

## Properties
Formation energy without anion corrections ... -15.0 eV/f.u.

Geometry as POSCAR:
```
ErHfSc2N4
1.0
5.614 0.000 0.000
0.000 3.254 0.000
-1.874 0.000 5.332
Er Hf Sc N
1 1 2 4
Cartesian
0.000 0.000 0.000
-0.937 1.627 2.666
1.870 0.000 2.666
2.807 1.627 0.000
0.007 0.000 3.943
0.936 1.627 1.401
2.803 1.627 3.931
3.732 0.000 1.389
```

No. 25
First-principles (PBE-GGA) data for AgB2TeO6 after structural relaxation, as listed in Alexandria via LeMat-Bulk.

## Properties
Formation energy without anion corrections ... -13.0 eV/f.u.

Geometry as POSCAR:
```
AgB2TeO6
1.0
4.720 -4.619 0.000
4.720 4.619 0.000
-1.094 0.000 4.748
Ag B Te O
2 4 2 12
Cartesian
3.900 3.798 3.561
4.447 -3.798 1.187
1.868 0.781 3.531
2.415 -0.781 1.157
5.932 0.781 3.591
6.478 -0.781 1.217
4.447 1.772 1.187
3.900 -1.772 3.561
3.217 3.411 1.509
2.558 1.943 4.030
5.676 3.411 0.865
2.464 0.310 2.219
1.917 -0.310 4.593
5.242 1.943 3.092
3.105 -1.943 1.656
6.429 0.310 0.155
5.882 -0.310 2.529
2.670 -3.411 3.883
5.788 -1.943 0.718
5.129 -3.411 3.239
```

Looking at energy for the records above, in order, we have -6.78, -8.31, -4.55, -5.79, -4.21, -2.94, -5.61, -9.87, -7.92, -3.52, -4.49, -3.84, -6.03, -5.12, -5.66, -5.20, -5.83, -2.94, -4.54, -3.16, -5.79, -7.54, -7.22, -9.44, -6.21 eV/atom.